# 1
Entry from Alexandria via LeMat-Bulk: a relaxed Pm2NdAu crystal (PBE).

a b c (Å): 10.5598 10.5598 10.5598
angles (deg): 20.52 20.52 20.52
Closest atoms and distances in Å follow each position.
Fractional positions:
Pm1 0.2367 0.2367 0.2367  3 Au 3.07
Pm2 0.7633 0.7633 0.7633  3 Au 3.07
Nd1 0.0000 0.0000 0.0000  6 Pm 3.70, 6 Nd 3.76
Au1 0.5000 0.5000 0.5000  6 Pm 3.07

Results
Calculated formation energy = -255.3 meV per atom
Energy above the most stable polymorph in this dataset = 0.1494 eV/atom
Symmetry = No. 166
Density = 8.278 Mg/m³

---

# 2
Entry from Alexandria via LeMat-Bulk: a relaxed ScNi crystal (PBE).

a b c (Å): 4.0296 4.0296 4.0296
angles (deg): 60.00 60.00 60.00
Closest atoms and distances in Å follow each position.
Fractional positions:
Sc1 0.0000 0.0000 0.0000  4 Ni 2.47
Ni1 0.7500 0.7500 0.7500  4 Sc 2.47

Results
Calculated formation energy = 491.0 meV per atom
Symmetry = No. 216
Density = 3.720 Mg/m³

---

# 3
Entry from Alexandria via LeMat-Bulk: a relaxed HgSb2Ru crystal (PBE).

a b c (Å): 5.0336 5.0336 3.5086
angles (deg): 90.00 90.00 105.22
Closest atoms and distances in Å follow each position.
Fractional positions:
Hg1 0.0000 0.0000 0.0000  2 Ru 3.06, 8 Sb 3.07
Sb1 0.0000 0.5000 0.5000  2 Sb 3.06, 4 Ru 3.07, 4 Hg 3.07
Sb2 0.5000 0.0000 0.5000  2 Sb 3.06, 4 Ru 3.07, 4 Hg 3.07
Ru1 0.5000 0.5000 0.0000  2 Hg 3.06, 8 Sb 3.07

Results
Symmetry = No. 65
ΔE_f (raw) = 0.46 eV per atom
Density = 10.553 Mg/m³

---

# 4
Entry from Alexandria via LeMat-Bulk: a relaxed Pm3Nd5Ni2 crystal (PBE).

a b c (Å): 10.0876 10.0876 10.0876
angles (deg): 115.86 81.75 135.02
Closest atoms and distances in Å follow each position.
Fractional positions:
Pm1 0.1255 0.7406 0.8662  1 Ni 2.77
Pm2 0.2500 0.2500 0.0000  4 Ni 2.80
Pm3 0.3745 0.2406 0.6151  1 Ni 2.77
Pm4 0.6255 0.7594 0.3849  1 Ni 2.77
Pm5 0.7500 0.7500 0.0000  4 Ni 2.80
Pm6 0.8745 0.2594 0.1338  1 Ni 2.77
Nd1 0.0115 0.7500 0.2615  2 Ni 2.75
Nd2 0.1245 0.2600 0.3845  1 Ni 2.80
Nd3 0.2500 0.7500 0.5000  8 Nd 3.64-3.86, 4 Pm 3.75
Nd4 0.3755 0.7600 0.1356  1 Ni 2.80
Nd5 0.4885 0.7500 0.7385  2 Ni 2.75
Nd6 0.5115 0.2500 0.2615  2 Ni 2.75
Nd7 0.6245 0.2400 0.8644  1 Ni 2.80
Nd8 0.7500 0.2500 0.5000  8 Nd 3.64-3.86, 4 Pm 3.75
Nd9 0.8755 0.7400 0.6155  1 Ni 2.80
Nd10 0.9885 0.2500 0.7385  2 Ni 2.75
Ni1 0.1333 0.9993 0.1326  3 Nd 2.75-2.80, 3 Pm 2.77-2.80
Ni2 0.3667 0.4993 0.8660  3 Nd 2.75-2.80, 3 Pm 2.77-2.80
Ni3 0.6333 0.5007 0.1340  3 Nd 2.75-2.80, 3 Pm 2.77-2.80
Ni4 0.8667 0.0007 0.8674  3 Nd 2.75-2.80, 3 Pm 2.77-2.80

Results
Calculated formation energy = -25.1 meV per atom
Symmetry = No. 72
Density = 6.708 Mg/m³

---

# 5
Entry from Alexandria via LeMat-Bulk: a relaxed Na2Pt2Pb3 crystal (PBE).

a b c (Å): 6.0727 6.0727 7.8786
angles (deg): 113.52 113.52 42.98
Closest atoms and distances in Å follow each position.
Fractional positions:
Na1 0.1624 0.1624 0.3137  4 Pt 3.09-3.43, 3 Pb 3.43-3.45
Na2 0.8376 0.8376 0.6863  4 Pt 3.09-3.43, 3 Pb 3.43-3.45
Pt1 0.1200 0.1200 0.7191  5 Pb 2.79-2.92, 1 Na 3.09
Pt2 0.8800 0.8800 0.2809  5 Pb 2.79-2.92, 1 Na 3.09
Pb1 0.3694 0.3694 0.0345  3 Pt 2.85-2.92
Pb2 0.5000 0.5000 0.5000  4 Pt 2.79
Pb3 0.6306 0.6306 0.9655  3 Pt 2.85-2.92

Results
Calculated formation energy = -232.0 meV per atom
Symmetry = No. 12
Density = 9.816 Mg/m³

---

# 6
Entry from Alexandria via LeMat-Bulk: a relaxed Ac6Pd2RuAu crystal (PBE).

a b c (Å): 7.6159 7.6160 8.4051
angles (deg): 63.12 63.13 60.08
Closest atoms and distances in Å follow each position.
Fractional positions:
Ac1 0.0000 0.0000 0.0000  1 Ru 2.94, 2 Pd 3.11-3.12, 1 Au 3.22
Ac2 0.1441 0.8468 0.5254  1 Ru 3.00, 2 Pd 3.09-3.10, 1 Au 3.22
Ac3 0.3466 0.3238 0.9998  1 Ru 2.94, 2 Pd 3.11-3.12, 1 Au 3.22
Ac4 0.5212 0.1542 0.5253  1 Ru 3.00, 2 Pd 3.09-3.10, 1 Au 3.22
Ac5 0.6754 0.6714 0.0000  1 Ru 2.94, 2 Pd 3.11-3.12, 1 Au 3.22
Ac6 0.8289 0.4701 0.5262  1 Ru 3.00, 2 Pd 3.08-3.11, 1 Au 3.22
Pd1 0.4216 0.7470 0.7549  6 Ac 3.08-3.12
Pd2 0.9244 0.2502 0.2468  6 Ac 3.10-3.11
Ru1 0.7467 0.0715 0.7813  6 Ac 2.94-3.00
Au1 0.2506 0.5754 0.2691  6 Ac 3.22

Results
Calculated formation energy = -503.9 meV per atom
Symmetry = No. 1
Density = 8.630 Mg/m³

---

# 7
Entry from Alexandria via LeMat-Bulk: a relaxed Sr3Ca8 crystal (PBE).

a b c (Å): 8.3715 8.3715 8.3715
angles (deg): 95.98 95.98 95.98
Closest atoms and distances in Å follow each position.
Fractional positions:
Sr1 0.0000 0.5000 0.5000  4 Ca 3.60-3.78
Sr2 0.5000 0.0000 0.5000  4 Ca 3.60-3.78
Sr3 0.5000 0.5000 0.0000  4 Ca 3.60-3.78
Ca1 0.0436 0.6936 0.9332  6 Ca 3.57-3.88, 1 Sr 3.78
Ca2 0.0668 0.9565 0.3064  6 Ca 3.57-3.88, 1 Sr 3.78
Ca3 0.3064 0.0668 0.9564  6 Ca 3.57-3.88, 1 Sr 3.78
Ca4 0.3567 0.3567 0.3567  3 Sr 3.60, 4 Ca 3.70-3.88
Ca5 0.6433 0.6433 0.6433  3 Sr 3.60, 4 Ca 3.70-3.88
Ca6 0.6936 0.9332 0.0435  6 Ca 3.57-3.88, 1 Sr 3.78
Ca7 0.9332 0.0436 0.6936  6 Ca 3.57-3.88, 1 Sr 3.78
Ca8 0.9565 0.3064 0.0668  6 Ca 3.57-3.88, 1 Sr 3.78

Results
Calculated formation energy = 389.2 meV per atom
Energy above the most stable polymorph in this dataset = 0.0000 eV/atom
Symmetry = No. 148
Density = 1.681 Mg/m³

---

# 8
Entry from Alexandria via LeMat-Bulk: a relaxed ZnCuPt6 crystal (PBE).

a b c (Å): 5.0381 5.0505 5.0611
angles (deg): 93.76 93.90 93.84
Closest atoms and distances in Å follow each position.
Fractional positions:
Zn1 0.0000 0.0000 0.0000  6 Pt 2.64-2.65
Cu1 0.5000 0.5000 0.5000  6 Pt 2.63-2.64
Pt1 0.0584 0.4414 0.7491  1 Cu 2.64, 1 Zn 2.65, 8 Pt 2.66-2.90
Pt2 0.2508 0.9399 0.5602  1 Cu 2.63, 1 Zn 2.64, 8 Pt 2.66-2.90
Pt3 0.4416 0.7491 0.0594  1 Cu 2.64, 1 Zn 2.64, 8 Pt 2.66-2.90
Pt4 0.5584 0.2509 0.9406  1 Cu 2.64, 1 Zn 2.64, 8 Pt 2.66-2.90
Pt5 0.7492 0.0601 0.4398  1 Cu 2.63, 1 Zn 2.64, 8 Pt 2.66-2.90
Pt6 0.9416 0.5586 0.2509  1 Cu 2.64, 1 Zn 2.65, 8 Pt 2.66-2.90

Results
Calculated formation energy = -27.0 meV per atom
Energy above the most stable polymorph in this dataset = 0.1915 eV/atom
Symmetry = No. 2
Density = 16.874 Mg/m³

---

# 9
Entry from Alexandria via LeMat-Bulk: a relaxed BOsSe2 crystal (PBE).

a b c (Å): 7.5591 7.5591 7.5591
angles (deg): 23.68 23.68 23.68
Closest atoms and distances in Å follow each position.
Fractional positions:
B1 0.0000 0.0000 0.0000  6 Se 2.22
Os1 0.5000 0.5000 0.5000  2 Se 2.36
Se1 0.3929 0.3929 0.3929  3 B 2.22, 1 Os 2.36
Se2 0.6071 0.6071 0.6071  3 B 2.22, 1 Os 2.36

Results
Symmetry = No. 166
ΔE_f (raw) = 0.80 eV per atom
Density = 9.744 Mg/m³

---

# 10
Entry from Alexandria via LeMat-Bulk: a relaxed Nd2Dy6Tm3In crystal (PBE).

a b c (Å): 6.0778 6.0778 11.6862
angles (deg): 94.98 94.98 120.03
Closest atoms and distances in Å follow each position.
Fractional positions:
Nd1 0.1661 0.8339 0.0000  3 Nd 3.50-3.51, 3 In 3.51-3.52, 6 Dy 3.55
Nd2 0.8339 0.1661 0.0000  3 Nd 3.50-3.51, 3 In 3.51-3.52, 6 Dy 3.55
Dy1 0.0889 0.4162 0.7483  6 Dy 3.45-3.54, 3 Tm 3.49-3.52, 1 In 3.51, 2 Nd 3.55
Dy2 0.2567 0.2567 0.2526  6 Dy 3.45-3.54, 3 Tm 3.48-3.51, 1 In 3.52, 2 Nd 3.55
Dy3 0.4162 0.0889 0.7483  6 Dy 3.45-3.54, 3 Tm 3.49-3.52, 1 In 3.51, 2 Nd 3.55
Dy4 0.5838 0.9111 0.2517  6 Dy 3.45-3.54, 3 Tm 3.49-3.52, 1 In 3.51, 2 Nd 3.55
Dy5 0.7433 0.7433 0.7474  6 Dy 3.45-3.54, 3 Tm 3.48-3.51, 1 In 3.52, 2 Nd 3.55
Dy6 0.9111 0.5838 0.2517  6 Dy 3.45-3.54, 3 Tm 3.49-3.52, 1 In 3.51, 2 Nd 3.55
Tm1 0.0000 0.0000 0.5000  6 Dy 3.49-3.51, 6 Tm 3.51
Tm2 0.3333 0.6667 0.5000  6 Dy 3.48-3.52, 6 Tm 3.51
Tm3 0.6667 0.3333 0.5000  6 Dy 3.48-3.52, 6 Tm 3.51
In1 0.5000 0.5000 0.0000  6 Nd 3.51-3.52, 6 Dy 3.51-3.52

Results
Calculated formation energy = -53.5 meV per atom
Symmetry = No. 12
Density = 8.505 Mg/m³